# KYTl2Cl6 | the Alexandria database | PBE | optimized geometry
# Symmetry: P2_1/c (14)
# Calculated volume, Å³/atom: 33.04
# Formation energy (no corrections), meV per atom: -1752.4
# Crystal system: monoclinic
data_KYTl2Cl6
_chemical_formula_sum 'K2 Y2 Tl4 Cl12'
_space_group_name_H-M_alt 'P 1'
_space_group_IT_number 1
_space_group_name_Hall 'P 1'
_cell_length_a 7.473
_cell_length_b 8.130
_cell_length_c 12.994
_cell_angle_alpha 90.00
_cell_angle_beta 123.17
_cell_angle_gamma 90.00
loop_
_atom_site_label
_atom_site_fract_x
_atom_site_fract_y
_atom_site_fract_z
K1 0.000 0.000 0.000
K2 0.000 0.500 0.500
Y1 0.500 0.000 0.500
Y2 0.500 0.500 0.000
Tl1 0.212 0.067 0.735
Tl2 0.212 0.433 0.235
Tl3 0.788 0.567 0.765
Tl4 0.788 0.933 0.265
Cl1 0.164 0.172 0.457
Cl2 0.164 0.328 0.957
Cl3 0.259 0.729 0.426
Cl4 0.259 0.771 0.926
Cl5 0.392 0.057 0.271
Cl6 0.392 0.443 0.771
Cl7 0.608 0.557 0.229
Cl8 0.608 0.943 0.729
Cl9 0.741 0.229 0.074
Cl10 0.741 0.271 0.574
Cl11 0.836 0.672 0.043
Cl12 0.836 0.828 0.543